{
  "formula": "Li2YMo",
  "functional": "PBEsol",
  "state": "relaxed",
  "volume_a3_per_cell": 77,
  "de_polymorph_kj_per_mol_fu": 0,
  "ef_ev_per_fu": 2.11,
  "dft_energy_ev_per_atom": -5.103,
  "lattice_angstrom": [[3.1297, 0.0000, 0.0000], [0.0000, 4.5843, 0.0000], [0.0000, 0.0000, 5.3381]],
  "species": ["Li", "Li", "Mo", "Y"],
  "frac_coords": [[0.0000, 0.0000, 0.0000], [0.5000, 0.5000, 0.0000], [0.5000, 0.0000, 0.5000], [0.0000, 0.5000, 0.5000]]
}

{
  "formula": "LiY3Mo",
  "functional": "PBEsol",
  "state": "relaxed",
  "volume_a3_per_cell": 151,
  "ef_ev_per_fu": 2.36,
  "dft_energy_ev_per_atom": -6.368,
  "lattice_angstrom": [[-2.6745, 4.3483, -1.5325], [-4.5895, -2.6796, 0.4063], [-0.4390, 1.5235, 5.0888]],
  "species": ["Y", "Y", "Y", "Mo", "Li"],
  "frac_coords": [[0.0000, 0.5000, 0.0000], [0.0000, 0.0000, 0.5000], [0.5000, 0.0000, 0.0000], [0.0000, 0.0000, 0.0000], [0.5000, 0.5000, 0.5000]]
}

{
  "formula": "LiZnMo2",
  "functional": "PBEsol",
  "state": "relaxed",
  "volume_a3_per_cell": 56,
  "ef_ev_per_fu": 0.93,
  "dft_energy_ev_per_atom": -6.538,
  "lattice_angstrom": [[3.6066, 0.0000, 0.0000], [0.0000, 3.6066, 0.0000], [0.0000, 0.0000, 4.3168]],
  "species": ["Li", "Mo", "Mo", "Zn"],
  "frac_coords": [[0.0000, 0.0000, 0.5000], [0.0000, 0.5000, 0.0000], [0.5000, 0.0000, 0.0000], [0.5000, 0.5000, 0.5000]]
}

{
  "formula": "Li3ZnMo",
  "functional": "PBEsol",
  "state": "relaxed",
  "volume_a3_per_cell": 92,
  "ef_ev_per_fu": 5.19,
  "dft_energy_ev_per_atom": -2.812,
  "lattice_angstrom": [[4.5197, 0.0000, 0.0000], [0.0000, 4.5197, 0.0000], [0.0000, 0.0000, 4.5197]],
  "species": ["Mo", "Zn", "Li", "Li", "Li"],
  "frac_coords": [[0.5000, 0.5000, 0.5000], [0.0000, 0.0000, 0.0000], [0.0000, 0.5000, 0.0000], [0.0000, 0.0000, 0.5000], [0.5000, 0.0000, 0.0000]]
}

{
  "formula": "LiZnMo2",
  "functional": "PBEsol",
  "state": "relaxed",
  "volume_a3_per_cell": 57,
  "ef_ev_per_fu": 1.49,
  "dft_energy_ev_per_atom": -6.398,
  "lattice_angstrom": [[4.3238, 0.0000, 0.0000], [2.1619, 3.7446, 0.0000], [2.1619, 1.2482, 3.5304]],
  "species": ["Li", "Mo", "Mo", "Zn"],
  "frac_coords": [[0.5000, 0.5000, 0.5000], [0.0000, 0.0000, 0.0000], [0.7500, 0.7500, 0.7500], [0.2500, 0.2500, 0.2500]]
}

{
  "formula": "LiZnMo2",
  "functional": "PBEsol",
  "state": "relaxed",
  "volume_a3_per_cell": 57,
  "ef_ev_per_fu": 1.07,
  "dft_energy_ev_per_atom": -6.502,
  "lattice_angstrom": [[-0.3390, -2.3327, -1.0282], [4.8383, -0.1036, -1.3604], [-1.3387, -1.7902, 4.5027]],
  "species": ["Li", "Mo", "Mo", "Zn"],
  "frac_coords": [[0.5000, 0.5000, 0.5000], [0.0000, 0.5000, 0.0000], [0.0000, 0.0000, 0.5000], [0.5000, 0.0000, 0.0000]]
}

{
  "formula": "LiZnMo2",
  "functional": "PBEsol",
  "state": "relaxed",
  "volume_a3_per_cell": 60,
  "ef_ev_per_fu": 1.52,
  "dft_energy_ev_per_atom": -6.391,
  "lattice_angstrom": [[-1.2503, -2.2480, -0.7560], [-1.1308, -1.5886, 1.8400], [-8.9952, 3.5698, -0.4926]],
  "species": ["Li", "Mo", "Mo", "Zn"],
  "frac_coords": [[0.0000, 0.0000, 0.0000], [0.2471, 0.2471, 0.2587], [0.7529, 0.7529, 0.7413], [0.5000, 0.5000, 0.5000]]
}

{
  "formula": "LiZr2Mo",
  "functional": "PBEsol",
  "state": "relaxed",
  "volume_a3_per_cell": 76,
  "de_polymorph_kj_per_mol_fu": 85,
  "ef_ev_per_fu": 1.15,
  "dft_energy_ev_per_atom": -7.690,
  "lattice_angstrom": [[2.8659, 0.0117, 0.0000], [-1.1252, 2.6358, 0.0000], [0.0000, 0.0000, 10.0415]],
  "species": ["Li", "Mo", "Zr", "Zr"],
  "frac_coords": [[0.0000, 0.0000, 0.4781], [0.5000, 0.5000, 0.2454], [0.0000, 0.0000, 0.0265], [0.5000, 0.5000, 0.7500]]
}